6
Lattice="0.000 3.872 3.872 3.872 0.000 3.872 3.872 3.872 0.000" Properties=species:S:1:pos:R:3 comment="BaTc4Cl (PBE, relaxed)" density_g_cm3=8.077 pbc="T T T"
Ba 0.000 0.000 0.000
Tc 2.915 2.915 2.915
Tc 4.829 4.829 2.915
Tc 4.829 2.915 4.829
Tc 2.915 4.829 4.829
Cl 5.808 5.808 5.808

5
Lattice="4.925 0.000 0.000 0.000 4.925 0.000 0.000 0.000 4.925" Properties=species:S:1:pos:R:3 comment="BaTcCl3 (PBE, relaxed)" density_g_cm3=4.749 pbc="T T T"
Ba 0.000 0.000 0.000
Tc 2.463 2.463 2.463
Cl 0.000 2.463 2.463
Cl 2.463 0.000 2.463
Cl 2.463 2.463 0.000

4
Lattice="3.826 -2.186 0.000 3.826 2.186 0.000 -2.502 0.000 8.514" Properties=species:S:1:pos:R:3 comment="Ba2TcCl (PBE, relaxed)" density_g_cm3=4.759 pbc="T T T"
Ba 1.293 0.000 2.017
Ba 3.856 0.000 6.498
Tc 3.826 0.000 0.000
Cl -1.251 0.000 4.257

4
Lattice="3.578 -2.025 0.000 3.578 2.025 0.000 -3.087 0.000 7.529" Properties=species:S:1:pos:R:3 comment="BaTc2Cl (PBE, relaxed)" density_g_cm3=5.613 pbc="T T T"
Ba 0.000 0.000 0.000
Tc -0.709 0.000 5.026
Tc 1.669 0.000 4.660
Cl 4.802 0.000 2.010

4
Lattice="-1.843 3.158 4.450 1.843 -3.158 4.450 1.843 3.158 -4.450" Properties=species:S:1:pos:R:3 comment="BaTc2Cl (PBE, relaxed)" density_g_cm3=5.912 pbc="T T T"
Ba 0.000 0.000 0.000
Tc 0.000 0.000 4.447
Tc 0.000 3.158 1.395
Cl 1.843 0.000 2.541

4
Lattice="0.000 3.458 3.458 3.458 0.000 3.458 3.458 3.458 0.000" Properties=species:S:1:pos:R:3 comment="BaTc2Cl (PBE, relaxed)" density_g_cm3=7.406 pbc="T T T"
Ba 0.000 0.000 0.000
Tc 1.729 1.729 1.729
Tc 3.458 3.458 3.458
Cl 5.187 5.187 5.187

4
Lattice="3.730 0.000 0.000 0.000 3.738 0.000 -0.010 0.000 8.750" Properties=species:S:1:pos:R:3 comment="Ba2TcCl (PBE, relaxed)" density_g_cm3=5.554 pbc="T T T"
Ba 0.000 0.000 2.293
Ba 3.720 0.000 6.457
Tc 1.860 1.869 4.375
Cl 1.865 1.869 0.000

5
Lattice="5.943 0.000 0.000 0.000 5.943 0.000 0.000 0.000 5.943" Properties=species:S:1:pos:R:3 comment="Ba3TcCl (PBE, relaxed)" density_g_cm3=4.315 pbc="T T T"
Ba 0.000 0.000 2.971
Ba 0.000 2.971 0.000
Ba 2.971 0.000 0.000
Tc 0.000 0.000 0.000
Cl 2.971 2.971 2.971

no.,total DFT energy (no corrections) (eV per atom)
1,-6.529
2,-4.497
3,-4.183
4,-6.088
5,-5.759
6,-5.227
7,-4.243
8,-3.658